Entry 1:
DFT (PBE) results for a relaxed structure of LaYIn2.

Output
* space group: R-3m, No. 166
* magnetization: 0.00 μB per cell
* DFT total energy: -4.53 eV/atom
* DFT formation energy: -0.315 eV/atom

```
LaYIn2
1.0
10.252 0.023 0.014
9.550 3.729 0.014
9.550 1.810 3.261
In Y La
2 1 1
Direct
0.497 0.497 0.497
0.003 0.003 0.003
0.750 0.750 0.750
0.250 0.250 0.250
```

---

Entry 2:
DFT (PBE) results for a relaxed structure of Ho3Tm2Se6.

Output
* space group: C2/m, No. 12
* E_form (uncorrected): -1.83 eV/atom
* magnetization: 0.00 μB per cell
* DFT total energy: -5.79 eV/atom
* distance to the lowest polymorph of the same formula: 0.000 eV/atom

```
Ho3Tm2Se6
1.0
-2.976 6.233 1.012
-5.042 2.194 -4.262
-5.481 -0.702 4.221
Ho Se Tm
3 6 2
Direct
0.000 0.000 0.000
0.665 0.669 0.000
0.335 0.331 0.000
0.747 0.000 0.741
0.911 0.671 0.256
0.419 0.671 0.744
0.581 0.329 0.256
0.089 0.329 0.744
0.253 0.000 0.259
0.165 0.670 0.500
0.835 0.330 0.500
```

---

Entry 3:
DFT (PBE) results for a relaxed structure of Pd3PtBr.

Output
* space group: Pm-3m, No. 221
* E_form (uncorrected): 0.83 eV/atom
* magnetization: 0.00 μB per cell
* DFT total energy: -3.83 eV/atom
* distance to the lowest polymorph of the same formula: 0.000 eV/atom

```
Pd3PtBr
1.0
4.654 0.000 0.000
0.000 4.654 0.000
0.000 0.000 4.654
Pd Pt Br
3 1 1
Direct
0.000 0.500 0.000
0.000 0.000 0.500
0.500 0.000 0.000
0.500 0.500 0.500
0.000 0.000 0.000
```